Entry 1:
Compound: TaAsAu2
Source: Alexandria via LeMat-Bulk
Functional: PBE
Structure: optimized geometry

Cell and atoms, written as extended XYZ:
```
4
Lattice="5.0388 0.0104 0.0004 4.1753 2.8206 0.0004 1.2225 0.3756 5.1171" Properties=species:S:1:pos:R:3 pbc="T T T"
As 7.7824 2.3911 3.5006
Au 0.0731 0.0224 0.1731
Au 2.5513 0.7839 1.2270
Ta 5.2481 1.6125 2.7761
```

Results
Its total magnetic moment is 0.0 μB per formula unit. As for the energy relative to the elements: 55 meV/atom. Its space group is No. 8.


Entry 2:
Compound: TaAsAu2
Source: Alexandria via LeMat-Bulk
Functional: PBE
Structure: optimized geometry

Cell and atoms, written as extended XYZ:
```
4
Lattice="-1.0324 3.6153 3.5420 -4.0699 -2.7420 1.6124 1.6322 -1.3391 1.8426" Properties=species:S:1:pos:R:3 pbc="T T T"
As -1.2188 -2.0405 1.7275
Au 0.0000 0.0000 0.0000
Au -2.5512 0.4367 2.5772
Ta 0.2999 1.1381 2.6923
```

Results
Its total magnetic moment is 0.0 μB per formula unit. As for the energy relative to the elements: 289 meV/atom. Its space group is No. 123.


Entry 3:
Compound: TaAsAu
Source: Alexandria via LeMat-Bulk
Functional: PBE
Structure: optimized geometry

Cell and atoms, written as extended XYZ:
```
3
Lattice="-4.6935 5.3663 -1.5904 -6.1871 3.7403 0.3319 0.7650 2.1142 1.8748" Properties=species:S:1:pos:R:3 pbc="T T T"
As 0.4460 2.3057 1.7890
Au -2.8289 4.2721 0.9078
Ta -6.9677 6.7572 -0.2057
```

Results
Its total magnetic moment is 0.0 μB per formula unit. As for the energy relative to the elements: 35 meV/atom. Its space group is No. 42.


Entry 4:
Compound: TaAs2Au
Source: Alexandria via LeMat-Bulk
Functional: PBE
Structure: optimized geometry

Cell and atoms, written as extended XYZ:
```
4
Lattice="-2.3764 1.5971 0.3691 -0.3438 -1.1212 2.6380 5.4950 7.2941 3.8164" Properties=species:S:1:pos:R:3 pbc="T T T"
As 5.1325 6.8130 3.5647
As 0.3240 2.4735 2.6732
Au 2.8960 3.8441 2.0113
Ta 2.6648 5.5806 4.2989
```

Results
Its total magnetic moment is 0.0 μB per formula unit. As for the energy relative to the elements: 50 meV/atom. Its space group is No. 99.


Entry 5:
Compound: TaAsAu2
Source: Alexandria via LeMat-Bulk
Functional: PBE
Structure: optimized geometry

Cell and atoms, written as extended XYZ:
```
4
Lattice="-2.6779 2.1605 -0.0112 -0.3462 -0.4464 -3.3208 -3.9761 -4.9266 0.3329" Properties=species:S:1:pos:R:3 pbc="T T T"
As -4.1565 -2.4116 0.0779
Au -0.2986 -0.3822 -2.3247
Au -2.4031 -0.2411 -0.4563
Ta -2.3032 -2.8641 -1.7902
```

Results
Its total magnetic moment is 0.0 μB per formula unit. As for the energy relative to the elements: -25 meV/atom. Its space group is No. 6.


Entry 6:
Compound: TaAs2Au
Source: Alexandria via LeMat-Bulk
Functional: PBE
Structure: optimized geometry

Cell and atoms, written as extended XYZ:
```
4
Lattice="2.8456 0.0000 0.0000 0.0000 2.8456 0.0000 0.0000 0.0000 10.1712" Properties=species:S:1:pos:R:3 pbc="T T T"
As 0.0000 0.0000 9.6640
As 0.0000 0.0000 5.5929
Au 1.4228 1.4228 2.5428
Ta 1.4228 1.4228 7.6284
```

Results
Its total magnetic moment is 0.0 μB per formula unit. As for the energy relative to the elements: 140 meV/atom. Its space group is No. 123.


Entry 7:
Compound: TaAsAu2
Source: Alexandria via LeMat-Bulk
Functional: PBE
Structure: optimized geometry

Cell and atoms, written as extended XYZ:
```
4
Lattice="-1.1037 0.5027 -2.6202 0.3954 -2.7734 -0.6987 -8.3377 -1.9779 3.1327" Properties=species:S:1:pos:R:3 pbc="T T T"
As -6.2790 -2.5409 0.5667
Au -0.2297 -0.0545 0.0863
Au -2.5934 -1.6666 -0.8181
Ta -4.1127 -0.9756 1.5452
```

Results
Its total magnetic moment is 0.0 μB per formula unit. As for the energy relative to the elements: 10 meV/atom. Its space group is No. 99.


Entry 8:
Compound: TaAsAu
Source: Alexandria via LeMat-Bulk
Functional: PBE
Structure: optimized geometry

Cell and atoms, written as extended XYZ:
```
3
Lattice="4.5141 0.0000 0.0000 -2.2570 3.9093 0.0000 0.0000 0.0000 3.1004" Properties=species:S:1:pos:R:3 pbc="T T T"
As 0.0000 0.0000 2.5796
Au 0.0000 2.6062 1.0349
Ta 2.2571 1.3031 2.5863
```

Results
Its total magnetic moment is 0.0 μB per formula unit. As for the energy relative to the elements: 172 meV/atom. Its space group is No. 156.


Entry 9:
Compound: TaAsAu2
Source: Alexandria via LeMat-Bulk
Functional: PBE
Structure: optimized geometry

Cell and atoms, written as extended XYZ:
```
4
Lattice="-0.2345 3.4321 -3.1679 0.5354 -1.9316 -2.1323 -4.8750 -1.8437 -1.6366" Properties=species:S:1:pos:R:3 pbc="T T T"
As -3.3719 -1.1154 -4.4106
Au -4.3850 -3.5146 -3.4832
Au -2.1243 -2.1483 -2.1702
Ta -1.2021 0.7722 -2.5262
```

Results
Its total magnetic moment is 0.0 μB per formula unit. As for the energy relative to the elements: 112 meV/atom. Its space group is No. 10.


Entry 10:
Compound: TaAs2Au
Source: Alexandria via LeMat-Bulk
Functional: PBE
Structure: optimized geometry

Cell and atoms, written as extended XYZ:
```
4
Lattice="-2.3155 1.7829 1.7538 -2.3402 -0.6780 -2.4004 -3.9738 -5.7670 0.6164" Properties=species:S:1:pos:R:3 pbc="T T T"
As -3.9271 -5.6263 0.5349
As -3.2037 -3.3632 -0.8106
Au -2.7362 -0.7198 0.4309
Ta -5.8932 -3.9423 -0.4612
```

Results
Its total magnetic moment is 0.0 μB per formula unit. As for the energy relative to the elements: -66 meV/atom. Its space group is No. 10.


Entry 11:
Compound: TaAs2Au
Source: Alexandria via LeMat-Bulk
Functional: PBE
Structure: optimized geometry

Cell and atoms, written as extended XYZ:
```
4
Lattice="-1.1869 -4.1654 -1.2277 4.2562 -1.3684 0.5280 -0.6568 -0.7786 3.2767" Properties=species:S:1:pos:R:3 pbc="T T T"
As 0.0000 0.0000 0.0000
As 1.5346 -2.7669 -0.3498
Au -0.9219 -2.4720 1.0245
Ta 1.7997 -1.0735 1.9023
```

Results
Its total magnetic moment is 0.0 μB per formula unit. As for the energy relative to the elements: 63 meV/atom. Its space group is No. 123.


Entry 12:
Compound: TaAs2Au
Source: Alexandria via LeMat-Bulk
Functional: PBE
Structure: optimized geometry

Cell and atoms, written as extended XYZ:
```
4
Lattice="-0.9278 4.6248 -2.0691 -1.6959 -0.5450 -4.8330 -1.2831 -1.4964 4.7587" Properties=species:S:1:pos:R:3 pbc="T T T"
As -2.6199 4.0741 -6.8924
As -1.3155 2.0456 -3.4607
Au -1.7613 2.5842 -0.3807
Ta -2.1454 -0.0007 -1.7627
```

Results
Its total magnetic moment is 0.0 μB per formula unit. As for the energy relative to the elements: 191 meV/atom. Its space group is No. 71.